The following is a DFT calculation (PBE) of a relaxed structure of YAlCo2.

CIF file:
```
data_YAlCo2
_space_group_name_H-M_alt 'P 1'
_space_group_IT_number 1
_space_group_name_Hall 'P 1'
_cell_length_a 3.115
_cell_length_b 3.134
_cell_length_c 6.969
_cell_angle_alpha 63.25
_cell_angle_beta 90.00
_cell_angle_gamma 90.00
loop_
_atom_site_label
_atom_site_fract_x
_atom_site_fract_y
_atom_site_fract_z
Y1 0.500 0.250 0.250
Co1 0.000 0.043 0.956
Co2 0.000 0.457 0.544
Al1 0.500 0.750 0.750
```

Output
Energy relative to the elements in kcal/mol of atoms: -5.16
Crystal system: orthorhombic
Symmetry: Pmmm

The following is a DFT calculation (PBE) of a relaxed structure of UHgI.

CIF file:
```
data_UHgI
_space_group_name_H-M_alt 'P 1'
_space_group_IT_number 1
_space_group_name_Hall 'P 1'
_cell_length_a 3.676
_cell_length_b 5.543
_cell_length_c 10.074
_cell_angle_alpha 105.90
_cell_angle_beta 89.97
_cell_angle_gamma 90.00
loop_
_atom_site_label
_atom_site_fract_x
_atom_site_fract_y
_atom_site_fract_z
U1 0.250 0.545 0.589
U2 0.750 0.455 0.411
Hg1 0.250 0.938 0.376
Hg2 0.750 0.062 0.624
I1 0.750 0.673 0.847
I2 0.250 0.327 0.153
```

Output
Crystal system: monoclinic
Symmetry: P2_1/m

The following is a DFT calculation (PBE) of a relaxed structure of BaMg3Ge.

CIF file:
```
data_BaMg3Ge
_space_group_name_H-M_alt 'P 1'
_space_group_IT_number 1
_space_group_name_Hall 'P 1'
_cell_length_a 6.176
_cell_length_b 6.176
_cell_length_c 6.176
_cell_angle_alpha 90.00
_cell_angle_beta 90.00
_cell_angle_gamma 90.00
loop_
_atom_site_label
_atom_site_fract_x
_atom_site_fract_y
_atom_site_fract_z
Mg1 0.000 0.500 0.000
Mg2 0.000 0.000 0.500
Mg3 0.500 0.000 0.000
Ge1 0.500 0.500 0.500
Ba1 0.000 0.000 0.000
```

Output
Energy relative to the elements in kcal/mol of atoms: 30.55
Crystal system: cubic
Symmetry: Pm-3m
Excess energy over the best structure of this formula in the dataset in meV/atom: 1315

The following is a DFT calculation (PBE) of a relaxed structure of AgTe6Mo6.

CIF file:
```
data_AgTe6Mo6
_space_group_name_H-M_alt 'P 1'
_space_group_IT_number 1
_space_group_name_Hall 'P 1'
_cell_length_a 9.465
_cell_length_b 9.465
_cell_length_c 9.566
_cell_angle_alpha 60.00
_cell_angle_beta 60.00
_cell_angle_gamma 28.23
loop_
_atom_site_label
_atom_site_fract_x
_atom_site_fract_y
_atom_site_fract_z
Ag1 0.000 0.000 0.000
Mo1 0.715 0.715 0.685
Mo2 0.285 0.285 0.315
Mo3 0.846 0.846 0.377
Mo4 0.154 0.154 0.623
Mo5 0.688 0.688 0.436
Mo6 0.312 0.312 0.564
Te1 0.880 0.880 0.634
Te2 0.120 0.120 0.366
Te3 0.543 0.543 0.749
Te4 0.457 0.457 0.251
Te5 0.821 0.821 0.106
Te6 0.179 0.179 0.894
```

Output
Crystal system: monoclinic
Symmetry: C2/m

The following is a DFT calculation (PBE) of a relaxed structure of TbBeZn6Cu.

CIF file:
```
data_TbBeZn6Cu
_space_group_name_H-M_alt 'P 1'
_space_group_IT_number 1
_space_group_name_Hall 'P 1'
_cell_length_a 6.702
_cell_length_b 8.089
_cell_length_c 7.663
_cell_angle_alpha 121.86
_cell_angle_beta 115.93
_cell_angle_gamma 90.00
loop_
_atom_site_label
_atom_site_fract_x
_atom_site_fract_y
_atom_site_fract_z
Tb1 0.697 0.447 0.393
Tb2 0.303 0.553 0.607
Be1 0.500 0.500 0.000
Be2 0.500 0.000 0.000
Zn1 0.585 0.835 0.170
Zn2 0.015 0.265 0.030
Zn3 0.920 0.114 0.241
Zn4 0.320 0.626 0.241
Zn5 0.320 0.114 0.241
Zn6 0.920 0.626 0.241
Zn7 0.415 0.165 0.830
Zn8 0.985 0.735 0.970
Zn9 0.080 0.886 0.759
Zn10 0.680 0.374 0.759
Zn11 0.680 0.886 0.759
Zn12 0.080 0.374 0.759
Cu1 0.500 0.000 0.500
Cu2 0.000 0.000 0.500
```

Output
Energy relative to the elements in kcal/mol of atoms: 1.23
Crystal system: orthorhombic
Symmetry: Imma

The following is a DFT calculation (PBE) of a relaxed structure of Th5Mn2Au2.

CIF file:
```
data_Th5Mn2Au2
_space_group_name_H-M_alt 'P 1'
_space_group_IT_number 1
_space_group_name_Hall 'P 1'
_cell_length_a 7.619
_cell_length_b 7.603
_cell_length_c 8.714
_cell_angle_alpha 90.00
_cell_angle_beta 64.08
_cell_angle_gamma 90.00
loop_
_atom_site_label
_atom_site_fract_x
_atom_site_fract_y
_atom_site_fract_z
Th1 0.000 0.000 0.000
Th2 0.500 0.500 0.000
Th3 0.451 0.171 0.753
Th4 0.796 0.829 0.753
Th5 0.296 0.671 0.753
Th6 0.951 0.329 0.753
Th7 0.549 0.829 0.247
Th8 0.204 0.171 0.247
Th9 0.704 0.329 0.247
Th10 0.049 0.671 0.247
Mn1 0.123 0.379 0.000
Mn2 0.877 0.621 0.000
Mn3 0.377 0.879 0.000
Mn4 0.623 0.121 0.000
Au1 0.215 0.000 0.569
Au2 0.715 0.500 0.569
Au3 0.785 0.000 0.431
Au4 0.285 0.500 0.431
```

Output
Energy relative to the elements in kcal/mol of atoms: -5.03
Crystal system: orthorhombic
Symmetry: Cmce

The following is a DFT calculation (PBE) of a relaxed structure of LiGdDyRe.

CIF file:
```
data_LiGdDyRe
_space_group_name_H-M_alt 'P 1'
_space_group_IT_number 1
_space_group_name_Hall 'P 1'
_cell_length_a 4.935
_cell_length_b 4.935
_cell_length_c 4.935
_cell_angle_alpha 60.00
_cell_angle_beta 60.00
_cell_angle_gamma 60.00
loop_
_atom_site_label
_atom_site_fract_x
_atom_site_fract_y
_atom_site_fract_z
Re1 0.000 0.000 0.000
Gd1 0.750 0.750 0.750
Li1 0.500 0.500 0.500
Dy1 0.250 0.250 0.250
```

Output
Energy relative to the elements in kcal/mol of atoms: 1.77
Crystal system: cubic
Symmetry: F-43m

The following is a DFT calculation (PBE) of a relaxed structure of TbBiO.

CIF file:
```
data_TbBiO
_space_group_name_H-M_alt 'P 1'
_space_group_IT_number 1
_space_group_name_Hall 'P 1'
_cell_length_a 3.609
_cell_length_b 3.609
_cell_length_c 6.986
_cell_angle_alpha 75.03
_cell_angle_beta 75.03
_cell_angle_gamma 60.00
loop_
_atom_site_label
_atom_site_fract_x
_atom_site_fract_y
_atom_site_fract_z
Bi1 0.332 0.332 0.003
O1 0.508 0.508 0.475
Tb1 0.145 0.145 0.566
```

Output
Crystal system: trigonal
Symmetry: R3m
Excess energy over the best structure of this formula in the dataset in meV/atom: 252

Number 1: spin magnetization 0.383 μB/f.u., uncorrected energy -0.4651 Ry/atom. Number 2: spin magnetization 1.430 μB/f.u., uncorrected energy -0.3380 Ry/atom. Number 3: spin magnetization 0.000 μB/f.u., uncorrected energy -0.0691 Ry/atom. Number 4: spin magnetization 0.000 μB/f.u., uncorrected energy -0.5066 Ry/atom. Number 5: spin magnetization 0.000 μB/f.u., uncorrected energy -0.1602 Ry/atom. Number 6: spin magnetization 1.241 μB/f.u., uncorrected energy -0.5223 Ry/atom. Number 7: spin magnetization 7.064 μB/f.u., uncorrected energy -0.6015 Ry/atom. Number 8: spin magnetization 0.000 μB/f.u., uncorrected energy -0.4660 Ry/atom.